Material: TlCr3Ru
Method: DFT, SCAN
State: single point on PBEsol structure

Results
total moment	10.40	Bohr magnetons per cell
DFT total energy	-30.61	eV/atom

Structure (POSCAR):
```
TlCr3Ru
1.0
4.9105 0.0000 0.0000
0.0000 4.9105 0.0000
0.0000 0.0000 4.9105
Tl Cr Ru
1 3 1
direct
0.0000 0.0000 0.0000
0.0000 0.0000 0.5000
0.0000 0.5000 0.0000
0.5000 0.0000 0.0000
0.5000 0.5000 0.5000
```

---

Material: CrRuW2
Method: DFT, SCAN
State: single point on PBEsol structure

Results
total moment	0.01	Bohr magnetons per cell
DFT total energy	-47.97	eV/atom
excess energy over the best structure of this formula in the dataset	0.000	eV/atom

Structure (POSCAR):
```
CrRuW2
1.0
1.5235 -2.2025 0.0000
1.5235 2.2025 0.0000
0.0000 0.0000 8.4278
Cr Ru W
1 1 2
direct
0.0000 0.0000 0.0000
0.0000 0.0000 0.5000
0.5000 0.5000 0.2422
0.5000 0.5000 0.7578
```

---

Material: CrRuW2
Method: DFT, SCAN
State: single point on PBEsol structure

Results
total moment	0.00	Bohr magnetons per cell
DFT total energy	-47.83	eV/atom
excess energy over the best structure of this formula in the dataset	0.142	eV/atom

Structure (POSCAR):
```
CrRuW2
1.0
-1.8841 1.8841 4.0043
1.8841 -1.8841 4.0043
1.8841 1.8841 -4.0043
Cr Ru W
1 1 2
direct
0.0000 0.0000 0.0000
0.7500 0.2500 0.5000
0.2500 0.7500 0.5000
0.5000 0.5000 0.0000
```

---

Material: ZrCrRuW2
Method: DFT, SCAN
State: single point on PBEsol structure

Results
total moment	3.54	Bohr magnetons per cell
DFT total energy	-43.23	eV/atom

Structure (POSCAR):
```
ZrCrRuW2
1.0
4.6634 0.0000 0.0000
0.0000 4.6634 0.0000
0.0000 0.0000 4.8154
Zr Cr Ru W
1 1 1 2
direct
0.0000 0.0000 0.0000
0.5000 0.5000 0.0000
0.0000 0.0000 0.5000
0.0000 0.5000 0.5000
0.5000 0.0000 0.5000
```

---

Question: Number 3 is which compound?
Answer: CrRuW2